No. 1
VASP calculation (PBE-GGA) on a relaxed LiAcErBi crystal.

Unit cell a=5.577 b=5.577 c=5.577 alpha=60.00 beta=60.00 gamma=60.00
Sites, in units of the cell vectors:
Ac: 0.000 0.000 0.000
Bi: 0.750 0.750 0.750
Li: 0.250 0.250 0.250
Er: 0.500 0.500 0.500

Values from the calculation:
Its calculated total energy is -0.284 Ry per atom. The calculation puts the mass density at 8.3 g/cm³. The spin magnetization is 0.0009 μB/atom. For the energy of formation, the calculation gives -0.99 eV per formula unit.



No. 2
VASP calculation (PBE-GGA) on a relaxed ScMn2 crystal.

Unit cell a=4.885 b=4.885 c=16.159 alpha=90.00 beta=90.00 gamma=120.00
Last column: magnetic moment on the atom in μB.
Sites, in units of the cell vectors:
Mn: 0.500 0.500 0.500  -0.01
Mn: 0.667 0.333 0.368  0.42
Mn: 0.840 0.680 0.250  -0.10
Mn: 0.160 0.840 0.750  -0.10
Mn: 0.840 0.160 0.250  -0.10
Mn: 0.333 0.667 0.868  0.42
Mn: 0.500 0.000 0.500  -0.01
Mn: 0.160 0.320 0.750  -0.10
Mn: 0.320 0.160 0.250  -0.10
Mn: 0.000 0.500 0.500  -0.01
Mn: 0.500 0.000 0.000  -0.01
Mn: 0.680 0.840 0.750  -0.10
Mn: 0.333 0.667 0.632  0.42
Mn: 0.667 0.333 0.132  0.42
Mn: 0.000 0.500 0.000  -0.01
Mn: 0.500 0.500 0.000  -0.01
Sc: 0.667 0.333 0.656  -0.01
Sc: 0.000 0.000 0.093  -0.01
Sc: 0.000 0.000 0.907  -0.01
Sc: 0.667 0.333 0.844  -0.01
Sc: 0.000 0.000 0.407  -0.01
Sc: 0.000 0.000 0.593  -0.01
Sc: 0.333 0.667 0.156  -0.01
Sc: 0.333 0.667 0.344  -0.01

Values from the calculation:
Its calculated total energy is -0.614 Ry per atom. The calculation puts the mass density at 6.2 g/cm³. The spin magnetization is 0.0354 μB/atom. For the energy of formation, the calculation gives -0.39 eV per formula unit.



No. 3
VASP calculation (PBE-GGA) on a relaxed Dy6HgGe2S3 crystal.

Unit cell a=4.036 b=8.234 c=9.218 alpha=107.29 beta=102.64 gamma=90.00
Sites, in units of the cell vectors:
S: 0.168 0.827 0.336
S: 0.500 0.500 0.000
S: 0.832 0.173 0.664
Hg: 0.500 0.000 0.000
Ge: 0.161 0.319 0.322
Ge: 0.839 0.681 0.678
Dy: 0.331 0.424 0.663
Dy: 0.674 0.080 0.347
Dy: 0.006 0.730 0.012
Dy: 0.326 0.920 0.653
Dy: 0.669 0.576 0.337
Dy: 0.994 0.270 0.988

Values from the calculation:
Its calculated total energy is -0.403 Ry per atom. The calculation puts the mass density at 8.3 g/cm³. The spin magnetization is 0.0000 μB/atom.



No. 4
VASP calculation (PBE-GGA) on a relaxed Na4HgBi3 crystal.

Unit cell a=3.457 b=3.457 c=18.986 alpha=90.00 beta=90.00 gamma=90.00
Sites, in units of the cell vectors:
Na: 0.000 0.000 0.117
Na: 0.000 0.000 0.883
Na: 0.000 0.000 0.372
Na: 0.000 0.000 0.628
Hg: 0.500 0.500 0.000
Bi: 0.500 0.500 0.758
Bi: 0.500 0.500 0.500
Bi: 0.500 0.500 0.242

Values from the calculation:
Its calculated total energy is -0.180 Ry per atom. The calculation puts the mass density at 6.7 g/cm³. The spin magnetization is 0.0000 μB/atom. For the energy of formation, the calculation gives -2.33 eV per formula unit. As for the energy above the most stable polymorph in this dataset: 0.0 meV per atom.



No. 5
VASP calculation (PBE-GGA) on a relaxed K2MnBe crystal.

Unit cell a=5.872 b=5.872 c=4.025 alpha=90.00 beta=90.00 gamma=116.08
Last column: magnetic moment on the atom in μB.
Sites, in units of the cell vectors:
Be: 0.000 0.500 0.500  -0.07
K: 0.000 0.000 0.000  -0.01
K: 0.500 0.500 0.000  -0.01
Mn: 0.500 0.000 0.500  4.16

Values from the calculation:
Its calculated total energy is -0.192 Ry per atom. The calculation puts the mass density at 1.9 g/cm³. The spin magnetization is 1.0345 μB/atom. For the energy of formation, the calculation gives 4.66 eV per formula unit.



No. 6
VASP calculation (PBE-GGA) on a relaxed CaCuC crystal.

Unit cell a=3.495 b=5.489 c=5.489 alpha=72.21 beta=71.44 gamma=71.44
Sites, in units of the cell vectors:
Ca: 0.761 0.739 0.739
Ca: 0.239 0.261 0.261
C: 0.000 0.895 0.105
C: 0.000 0.105 0.895
Cu: 0.500 0.701 0.299
Cu: 0.500 0.299 0.701

Values from the calculation:
Its calculated total energy is -0.363 Ry per atom. The calculation puts the mass density at 4.2 g/cm³. The spin magnetization is 0.0000 μB/atom. For the energy of formation, the calculation gives 0.49 eV per formula unit. As for the energy above the most stable polymorph in this dataset: 150.9 meV per atom.



No. 7
VASP calculation (PBE-GGA) on a relaxed La2CuHg crystal.

Unit cell a=4.072 b=4.072 c=8.823 alpha=78.08 beta=78.08 gamma=58.41
Sites, in units of the cell vectors:
La: 0.505 0.505 0.471
La: 0.995 0.995 0.029
Hg: 0.750 0.750 0.750
Cu: 0.250 0.250 0.250

Values from the calculation:
Its calculated total energy is -0.273 Ry per atom. The calculation puts the mass density at 7.4 g/cm³. The spin magnetization is 0.0000 μB/atom. For the energy of formation, the calculation gives -0.61 eV per formula unit.



No. 8
VASP calculation (PBE-GGA) on a relaxed CaTb12Pr6 crystal.

Unit cell a=8.856 b=8.856 c=8.856 alpha=98.71 beta=98.71 gamma=98.71
Sites, in units of the cell vectors:
Ca: 0.000 0.000 0.000
Tb: 0.500 0.759 0.241
Tb: 0.759 0.500 0.241
Tb: 0.641 0.918 0.641
Tb: 0.241 0.759 0.500
Tb: 0.082 0.359 0.359
Tb: 0.241 0.500 0.759
Tb: 0.500 0.241 0.759
Tb: 0.641 0.641 0.918
Tb: 0.918 0.641 0.641
Tb: 0.359 0.082 0.359
Tb: 0.759 0.241 0.500
Tb: 0.359 0.359 0.082
Pr: 0.655 0.099 0.099
Pr: 0.345 0.901 0.901
Pr: 0.099 0.099 0.655
Pr: 0.901 0.901 0.345
Pr: 0.099 0.655 0.099
Pr: 0.901 0.345 0.901

Values from the calculation:
Its calculated total energy is -0.319 Ry per atom. The calculation puts the mass density at 6.9 g/cm³. The spin magnetization is 0.0000 μB/atom. For the energy of formation, the calculation gives 3.76 eV per formula unit.



No. 9
VASP calculation (PBE-GGA) on a relaxed Ce2YPd9 crystal.

Unit cell a=4.146 b=4.146 c=12.432 alpha=90.00 beta=90.00 gamma=90.00
Last column: magnetic moment on the atom in μB.
Sites, in units of the cell vectors:
Pd: 0.500 0.000 0.832  -0.01
Pd: 0.500 0.500 0.334  -0.02
Pd: 0.500 0.000 0.500  -0.02
Pd: 0.500 0.500 0.000  0.00
Pd: 0.000 0.500 0.500  -0.02
Pd: 0.000 0.500 0.832  -0.01
Pd: 0.000 0.500 0.168  -0.01
Pd: 0.500 0.500 0.666  -0.02
Pd: 0.500 0.000 0.168  -0.01
Y: 0.000 0.000 0.000  0.00
Ce: 0.000 0.000 0.331  0.37
Ce: 0.000 0.000 0.669  0.37

Values from the calculation:
Its calculated total energy is -0.461 Ry per atom. The calculation puts the mass density at 10.3 g/cm³. The spin magnetization is 0.0553 μB/atom. For the energy of formation, the calculation gives -10.20 eV per formula unit.



No. 10
VASP calculation (PBE-GGA) on a relaxed KSi3Br crystal.

Unit cell a=5.769 b=5.769 c=5.769 alpha=90.00 beta=90.00 gamma=90.00
Last column: magnetic moment on the atom in μB.
Sites, in units of the cell vectors:
Si: 0.000 0.500 0.000  0.28
Si: 0.000 0.000 0.500  0.21
Si: 0.500 0.000 0.000  0.26
Br: 0.500 0.500 0.500  0.23
K: 0.000 0.000 0.000  0.10

Values from the calculation:
Its calculated total energy is -0.133 Ry per atom. The calculation puts the mass density at 1.8 g/cm³. The spin magnetization is 0.5803 μB/atom. As for the energy above the most stable polymorph in this dataset: 922.3 meV per atom.



No. 11
VASP calculation (PBE-GGA) on a relaxed CuRh3 crystal.

Unit cell a=2.716 b=4.383 c=4.656 alpha=90.00 beta=90.00 gamma=90.00
Sites, in units of the cell vectors:
Cu: 0.000 0.000 0.002
Rh: 0.500 0.500 0.832
Rh: 0.000 0.500 0.330
Rh: 0.500 0.000 0.502

Values from the calculation:
Its calculated total energy is -0.474 Ry per atom. The calculation puts the mass density at 11.2 g/cm³. The spin magnetization is 0.0004 μB/atom. For the energy of formation, the calculation gives 0.35 eV per formula unit.



No. 12
VASP calculation (PBE-GGA) on a relaxed AgPPt crystal.

Unit cell a=3.991 b=3.991 c=3.827 alpha=90.00 beta=90.00 gamma=120.00
Sites, in units of the cell vectors:
P: 0.333 0.667 0.500
Ag: 0.000 0.000 0.000
Pt: 0.667 0.333 0.500

Values from the calculation:
Its calculated total energy is -0.356 Ry per atom. The calculation puts the mass density at 10.5 g/cm³. The spin magnetization is 0.0000 μB/atom. For the energy of formation, the calculation gives -0.22 eV per formula unit. As for the energy above the most stable polymorph in this dataset: 93.5 meV per atom.